DFT (GGA-PBE) results for a relaxed NaSn4Se7 crystal.

Geometry as CIF:
```
data_NaSn4Se7
_cell_length_a 6.571
_cell_length_b 6.611
_cell_length_c 17.960
_cell_angle_alpha 90.00
_cell_angle_beta 90.00
_cell_angle_gamma 90.00
_symmetry_space_group_name_H-M 'P 1'
_symmetry_Int_Tables_number 1
_symmetry_space_group_name_Hall 'P 1'
loop_
_atom_site_label
_atom_site_type_symbol
_atom_site_fract_x
_atom_site_fract_y
_atom_site_fract_z
Na1 Na 0.384 0.854 0.500
Na2 Na 0.884 0.146 0.000
Sn1 Sn 0.609 0.679 0.893
Sn2 Sn 0.054 0.776 0.249
Sn3 Sn 0.554 0.224 0.251
Sn4 Sn 0.109 0.321 0.607
Sn5 Sn 0.109 0.321 0.393
Sn6 Sn 0.609 0.679 0.107
Sn7 Sn 0.054 0.776 0.751
Sn8 Sn 0.554 0.224 0.749
Se1 Se 0.984 0.767 0.090
Se2 Se 0.484 0.233 0.410
Se3 Se 0.534 0.304 0.907
Se4 Se 0.034 0.696 0.593
Se5 Se 0.034 0.696 0.407
Se6 Se 0.534 0.304 0.093
Se7 Se 0.492 0.800 0.760
Se8 Se 0.992 0.200 0.740
Se9 Se 0.992 0.200 0.260
Se10 Se 0.492 0.800 0.240
Se11 Se 0.425 0.873 0.000
Se12 Se 0.925 0.127 0.500
Se13 Se 0.984 0.767 0.910
Se14 Se 0.484 0.233 0.590
```

Summary:
Raw total energy (eV/atom): -3.869
Crystal system: orthorhombic

---

DFT (GGA-PBE) results for a relaxed Cd2CoRe crystal.

Geometry as CIF:
```
data_Cd2CoRe
_cell_length_a 2.842
_cell_length_b 2.840
_cell_length_c 8.657
_cell_angle_alpha 70.86
_cell_angle_beta 90.00
_cell_angle_gamma 90.00
_symmetry_space_group_name_H-M 'P 1'
_symmetry_Int_Tables_number 1
_symmetry_space_group_name_Hall 'P 1'
loop_
_atom_site_label
_atom_site_type_symbol
_atom_site_fract_x
_atom_site_fract_y
_atom_site_fract_z
Cd1 Cd 0.000 0.022 0.978
Cd2 Cd 0.500 0.213 0.288
Co1 Co 0.000 0.471 0.528
Re1 Re 0.500 0.793 0.707
```

Summary:
Calculated formation energy (eV/atom): 0.22
Raw total energy (eV/atom): -5.122
Crystal system: tetragonal

---

DFT (GGA-PBE) results for a relaxed KCdIrCl6 crystal.

Geometry as CIF:
```
data_KCdIrCl6
_cell_length_a 6.643
_cell_length_b 6.643
_cell_length_c 6.843
_cell_angle_alpha 90.00
_cell_angle_beta 90.00
_cell_angle_gamma 60.00
_symmetry_space_group_name_H-M 'P 1'
_symmetry_Int_Tables_number 1
_symmetry_space_group_name_Hall 'P 1'
loop_
_atom_site_label
_atom_site_type_symbol
_atom_site_fract_x
_atom_site_fract_y
_atom_site_fract_z
K1 K 0.000 0.000 0.000
Cd1 Cd 0.667 0.667 0.500
Ir1 Ir 0.333 0.333 0.500
Cl1 Cl 0.035 0.348 0.300
Cl2 Cl 0.348 0.035 0.700
Cl3 Cl 0.617 0.348 0.700
Cl4 Cl 0.035 0.617 0.700
Cl5 Cl 0.348 0.617 0.300
Cl6 Cl 0.617 0.035 0.300
```

Summary:
Raw total energy (eV/atom): -3.468
Crystal system: trigonal

---

DFT (GGA-PBE) results for a relaxed TbErZnGa crystal.

Geometry as CIF:
```
data_TbErZnGa
_cell_length_a 5.038
_cell_length_b 5.038
_cell_length_c 5.038
_cell_angle_alpha 60.00
_cell_angle_beta 60.00
_cell_angle_gamma 60.00
_symmetry_space_group_name_H-M 'P 1'
_symmetry_Int_Tables_number 1
_symmetry_space_group_name_Hall 'P 1'
loop_
_atom_site_label
_atom_site_type_symbol
_atom_site_fract_x
_atom_site_fract_y
_atom_site_fract_z
Zn1 Zn 0.000 0.000 0.000
Tb1 Tb 0.750 0.750 0.750
Ga1 Ga 0.500 0.500 0.500
Er1 Er 0.250 0.250 0.250
```

Summary:
Calculated formation energy (eV/atom): -0.48
Raw total energy (eV/atom): -3.853
Crystal system: cubic

---

DFT (GGA-PBE) results for a relaxed Li2PuAu2 crystal.

Geometry as CIF:
```
data_Li2PuAu2
_cell_length_a 7.208
_cell_length_b 7.208
_cell_length_c 7.208
_cell_angle_alpha 148.99
_cell_angle_beta 148.99
_cell_angle_gamma 44.43
_symmetry_space_group_name_H-M 'P 1'
_symmetry_Int_Tables_number 1
_symmetry_space_group_name_Hall 'P 1'
loop_
_atom_site_label
_atom_site_type_symbol
_atom_site_fract_x
_atom_site_fract_y
_atom_site_fract_z
Li1 Li 0.250 0.750 0.500
Li2 Li 0.750 0.250 0.500
Pu1 Pu 0.000 0.000 0.000
Au1 Au 0.608 0.608 0.000
Au2 Au 0.392 0.392 0.000
```

Summary:
Calculated formation energy (eV/atom): 0.08
Raw total energy (eV/atom): -4.864
Crystal system: tetragonal

---

DFT (GGA-PBE) results for a relaxed Th3Re crystal.

Geometry as CIF:
```
data_Th3Re
_cell_length_a 6.577
_cell_length_b 6.577
_cell_length_c 5.681
_cell_angle_alpha 90.00
_cell_angle_beta 90.00
_cell_angle_gamma 120.00
_symmetry_space_group_name_H-M 'P 1'
_symmetry_Int_Tables_number 1
_symmetry_space_group_name_Hall 'P 1'
loop_
_atom_site_label
_atom_site_type_symbol
_atom_site_fract_x
_atom_site_fract_y
_atom_site_fract_z
Th1 Th 0.176 0.352 0.250
Th2 Th 0.648 0.824 0.250
Th3 Th 0.176 0.824 0.250
Th4 Th 0.824 0.648 0.750
Th5 Th 0.352 0.176 0.750
Th6 Th 0.824 0.176 0.750
Re1 Re 0.333 0.667 0.750
Re2 Re 0.667 0.333 0.250
```

Summary:
Calculated formation energy (eV/atom): 0.34
Raw total energy (eV/atom): -8.336
Crystal system: hexagonal

---

DFT (GGA-PBE) results for a relaxed Tb2FeHg crystal.

Geometry as CIF:
```
data_Tb2FeHg
_cell_length_a 5.081
_cell_length_b 5.081
_cell_length_c 5.081
_cell_angle_alpha 60.00
_cell_angle_beta 60.00
_cell_angle_gamma 60.00
_symmetry_space_group_name_H-M 'P 1'
_symmetry_Int_Tables_number 1
_symmetry_space_group_name_Hall 'P 1'
loop_
_atom_site_label
_atom_site_type_symbol
_atom_site_fract_x
_atom_site_fract_y
_atom_site_fract_z
Tb1 Tb 0.250 0.250 0.250
Tb2 Tb 0.750 0.750 0.750
Hg1 Hg 0.500 0.500 0.500
Fe1 Fe 0.000 0.000 0.000
```

Summary:
Calculated formation energy (eV/atom): -0.08
Raw total energy (eV/atom): -4.590
Crystal system: cubic